First-principles (PBE) data for a geometry-optimized Cd4SiSe3S3 structure, as listed in Alexandria via LeMat-Bulk.

CIF file:
```
data_Cd4SiSe3S3
_space_group_name_H-M_alt 'P 1'
_space_group_IT_number 1
_cell_length_a 7.355
_cell_length_b 7.355
_cell_length_c 12.829
_cell_angle_alpha 106.90
_cell_angle_beta 106.90
_cell_angle_gamma 59.12
loop_
_space_group_symop_operation_xyz
'x,y,z'
loop_
_atom_site_label
_atom_site_type_symbol
_atom_site_fract_x
_atom_site_fract_y
_atom_site_fract_z
Cd1 Cd 0.057 0.289 0.804
Cd2 Cd 0.074 0.926 0.500
Cd3 Cd 0.168 0.553 0.147
Cd4 Cd 0.289 0.057 0.304
Cd5 Cd 0.547 0.750 0.998
Cd6 Cd 0.553 0.168 0.647
Cd7 Cd 0.750 0.547 0.498
Cd8 Cd 0.926 0.074 0.000
Si1 Si 0.161 0.685 0.744
Si2 Si 0.685 0.161 0.244
Se1 Se 0.133 0.570 0.556
Se2 Se 0.360 0.861 0.794
Se3 Se 0.570 0.133 0.056
Se4 Se 0.831 0.872 0.793
Se5 Se 0.861 0.360 0.294
Se6 Se 0.872 0.831 0.293
S1 S 0.273 0.817 0.113
S2 S 0.348 0.400 0.816
S3 S 0.400 0.348 0.316
S4 S 0.424 0.921 0.490
S5 S 0.817 0.273 0.613
S6 S 0.921 0.424 0.990
```

The symmetry is Cc. The value obtained for the formation energy (no corrections) is -0.58 eV/atom. The magnetization comes out at 0.00 μB per formula unit. As for the density: 4.797 g/cm3.

First-principles (PBE) data for a geometry-optimized Rb3SO6 structure, as listed in Alexandria via LeMat-Bulk.

CIF file:
```
data_Rb3SO6
_space_group_name_H-M_alt 'P 1'
_space_group_IT_number 1
_cell_length_a 6.277
_cell_length_b 6.277
_cell_length_c 6.277
_cell_angle_alpha 60.00
_cell_angle_beta 60.00
_cell_angle_gamma 60.00
loop_
_space_group_symop_operation_xyz
'x,y,z'
loop_
_atom_site_label
_atom_site_type_symbol
_atom_site_fract_x
_atom_site_fract_y
_atom_site_fract_z
Rb1 Rb 0.000 0.000 0.000
Rb2 Rb 0.250 0.250 0.250
Rb3 Rb 0.750 0.750 0.750
S1 S 0.500 0.500 0.500
O1 O 0.316 0.316 0.684
O2 O 0.316 0.684 0.316
O3 O 0.316 0.684 0.684
O4 O 0.684 0.316 0.316
O5 O 0.684 0.316 0.684
O6 O 0.684 0.684 0.316
```

The symmetry is Fm-3m. The value obtained for the formation energy (no corrections) is -1.09 eV/atom. The magnetization comes out at 2.99 μB per formula unit. As for the density: 3.651 g/cm3.

First-principles (PBE) data for a geometry-optimized CaMnCo2 structure, as listed in Alexandria via LeMat-Bulk.

CIF file:
```
data_CaMnCo2
_space_group_name_H-M_alt 'P 1'
_space_group_IT_number 1
_cell_length_a 3.096
_cell_length_b 3.096
_cell_length_c 6.839
_cell_angle_alpha 90.00
_cell_angle_beta 90.00
_cell_angle_gamma 90.00
loop_
_space_group_symop_operation_xyz
'x,y,z'
loop_
_atom_site_label
_atom_site_type_symbol
_atom_site_fract_x
_atom_site_fract_y
_atom_site_fract_z
Ca1 Ca 0.000 0.000 0.000
Mn1 Mn 0.500 0.500 0.653
Co1 Co 0.000 0.000 0.461
Co2 Co 0.500 0.500 0.298
```

The symmetry is P4mm. The energy above the lowest structure with this stoichiometry comes out at 13.5 kJ/mol of atoms. The magnetization comes out at 6.69 μB per formula unit. As for the density: 5.393 g/cm3.

Repeat the second record exactly.
First-principles (PBE) data for a geometry-optimized Rb3SO6 structure, as listed in Alexandria via LeMat-Bulk.

CIF file:
```
data_Rb3SO6
_space_group_name_H-M_alt 'P 1'
_space_group_IT_number 1
_cell_length_a 6.277
_cell_length_b 6.277
_cell_length_c 6.277
_cell_angle_alpha 60.00
_cell_angle_beta 60.00
_cell_angle_gamma 60.00
loop_
_space_group_symop_operation_xyz
'x,y,z'
loop_
_atom_site_label
_atom_site_type_symbol
_atom_site_fract_x
_atom_site_fract_y
_atom_site_fract_z
Rb1 Rb 0.000 0.000 0.000
Rb2 Rb 0.250 0.250 0.250
Rb3 Rb 0.750 0.750 0.750
S1 S 0.500 0.500 0.500
O1 O 0.316 0.316 0.684
O2 O 0.316 0.684 0.316
O3 O 0.316 0.684 0.684
O4 O 0.684 0.316 0.316
O5 O 0.684 0.316 0.684
O6 O 0.684 0.684 0.316
```

The symmetry is Fm-3m. The value obtained for the formation energy (no corrections) is -1.09 eV/atom. The magnetization comes out at 2.99 μB per formula unit. As for the density: 3.651 g/cm3.

Repeat the third record exactly.
First-principles (PBE) data for a geometry-optimized CaMnCo2 structure, as listed in Alexandria via LeMat-Bulk.

CIF file:
```
data_CaMnCo2
_space_group_name_H-M_alt 'P 1'
_space_group_IT_number 1
_cell_length_a 3.096
_cell_length_b 3.096
_cell_length_c 6.839
_cell_angle_alpha 90.00
_cell_angle_beta 90.00
_cell_angle_gamma 90.00
loop_
_space_group_symop_operation_xyz
'x,y,z'
loop_
_atom_site_label
_atom_site_type_symbol
_atom_site_fract_x
_atom_site_fract_y
_atom_site_fract_z
Ca1 Ca 0.000 0.000 0.000
Mn1 Mn 0.500 0.500 0.653
Co1 Co 0.000 0.000 0.461
Co2 Co 0.500 0.500 0.298
```

The symmetry is P4mm. The energy above the lowest structure with this stoichiometry comes out at 13.5 kJ/mol of atoms. The magnetization comes out at 6.69 μB per formula unit. As for the density: 5.393 g/cm3.